DFT (SCAN) results for a PBEsol-optimized structure of Na2SnRuW.

Output
Calculated total energy, eV/atom: -28.293
Calculated formation energy, eV/atom: 1.480

```
data_Na2SnRuW
_chemical_formula_sum 'Na2 Sn1 Ru1 W1'
_space_group_name_H-M_alt 'P 4/m m m'
_space_group_IT_number 123
_space_group_name_Hall '-P 4 2'
_cell_length_a 5.5293
_cell_length_b 5.5293
_cell_length_c 4.4521
_cell_angle_alpha 90.00
_cell_angle_beta 90.00
_cell_angle_gamma 90.00
loop_
_atom_site_label
_atom_site_type_symbol
_atom_site_fract_x
_atom_site_fract_y
_atom_site_fract_z
_atom_site_occupancy
Na1 Na 0.0000 0.5000 0.0000 1
Sn1 Sn 0.0000 0.0000 0.5000 1
Ru1 Ru 0.5000 0.5000 0.5000 1
W1 W 0.5000 0.5000 0.0000 1
```